Below is a relaxed CaAl2Sb2 crystal, with properties calculated at the PBE level.

POSCAR file:
```
CaAl2Sb2
1.0
-2.658 2.658 4.632
2.658 -2.658 4.632
2.658 2.658 -4.632
Ca Al Sb
1 2 2
Cartesian
0.000 0.000 0.000
0.000 0.000 3.343
0.000 0.000 5.921
2.658 0.000 2.316
0.000 2.658 2.316
```

Summary:
- E_form (uncorrected) (meV per atom) = -261
- energy relative to the lowest polymorph listed for this composition (kJ per mole of atoms) = 1.4
- final energy (eV for the cell shown) = -19.04
- DOS(E_F) (states/eV/f.u.) = 2.07
- magnetization (μB/f.u.) = 0.000